Material: Sn2HgB
Method: DFT, PBE
State: relaxed

```
Sn2HgB
1.0
0.000 3.546 3.546
3.546 0.000 3.546
3.546 3.546 0.000
Sn Hg B
2 1 1
direct
0.250 0.250 0.250 Sn
0.750 0.750 0.750 Sn
0.000 0.000 0.000 Hg
0.500 0.500 0.500 B
```

Properties
symmetry	Fm-3m (225)
total magnetic moment	0.0	μB/cell
polymorph energy (0 for the lowest one)	177	kJ/mol of formula units
energy of formation	910	meV per atom
calculated volume	89.15	Å³/cell